# Sm6P2S3I

Crystalline Sm6P2S3I at its relaxed geometry (PBE-GGA, the Alexandria database).

Cell lengths 4.0985, 8.3191, 9.1676 Å; angles 102.11, 102.92, 90.00 degrees
With the nearest neighbours (Å) after each atom.
Element x y z (fractional)
Sm 0.3317 0.4217 0.6633  3 P 2.86-2.89, 3 S 2.94-2.99
Sm 0.6683 0.5783 0.3367  3 P 2.86-2.89, 3 S 2.94-2.99
Sm 0.0055 0.2897 0.0110  3 S 2.71-2.91, 1 P 2.84
Sm 0.3179 0.8956 0.6359  3 S 2.77-3.00, 2 P 2.85
Sm 0.6821 0.1044 0.3641  3 S 2.77-3.00, 2 P 2.85
Sm 0.9945 0.7103 0.9890  3 S 2.71-2.91, 1 P 2.84
P 0.1676 0.3335 0.3353  6 Sm 2.84-2.89
P 0.8324 0.6665 0.6647  6 Sm 2.84-2.89
S 0.8405 0.1646 0.6810  6 Sm 2.77-3.00
S 0.5000 0.5000 0.0000  6 Sm 2.71-2.94
S 0.1595 0.8354 0.3190  6 Sm 2.77-3.00
I 0.5000 0.0000 0.0000  6 Sm 3.15-3.18

## Properties
For the total magnetization, the calculation gives 0.00 Bohr magnetons per cell. The value obtained for the raw formation energy is -162.8 kJ per mole of atoms. Its total DFT energy (no corrections) is -6.11 eV/atom. The volume comes out at 24.794 Å³/atom.